## Ba2CaI6 (PBEsol)

Data for a geometry-optimized Ba2CaI6 structure.

a = 7.598 Å, b = 27.310 Å, c = 8.285 Å
α = 90.00°, β = 90.00°, γ = 90.00°
Positions (direct):
Ba 0.000 0.054 0.250
Ba 0.000 0.279 0.750
Ba 0.000 0.721 0.250
Ba 0.000 0.946 0.750
Ba 0.500 0.221 0.250
Ba 0.500 0.446 0.750
Ba 0.500 0.554 0.250
Ba 0.500 0.779 0.750
Ca 0.000 0.385 0.250
Ca 0.000 0.615 0.750
Ca 0.500 0.115 0.750
Ca 0.500 0.885 0.250
I 0.238 0.465 0.085
I 0.238 0.535 0.585
I 0.239 0.366 0.547
I 0.239 0.634 0.047
I 0.245 0.309 0.078
I 0.245 0.691 0.578
I 0.255 0.191 0.578
I 0.255 0.809 0.078
I 0.261 0.134 0.047
I 0.261 0.866 0.547
I 0.262 0.035 0.585
I 0.262 0.965 0.085
I 0.738 0.035 0.915
I 0.738 0.965 0.415
I 0.739 0.134 0.453
I 0.739 0.866 0.953
I 0.745 0.191 0.922
I 0.745 0.809 0.422
I 0.755 0.309 0.422
I 0.755 0.691 0.922
I 0.761 0.366 0.953
I 0.761 0.634 0.453
I 0.762 0.465 0.415
I 0.762 0.535 0.915

Calculated values
The calculation puts the formation energy (no corrections) at -14.9 eV/f.u. As for the space group: Pbcn.